The following is a DFT calculation (GGA-PBE) of a relaxed structure of RbBe2RhF8.

The calculation puts the volume at 574 Å³ per cell. The uncorrected formation energy is -2.574 eV per atom. Its size of the total moment is 0.000 μB/cell.

It has space group R-3m (No. 166, hexagonal axes), with a = 5.2764 Å, b = 5.2764 Å, c = 23.7985 Å, α = 90.00°, β = 90.00° and γ = 120.00°. Symmetry generates all atoms from Rb at (0.0000, 0.0000, 0.0000), Be at (0.0000, 0.0000, 0.2415), Rh at (0.0000, 0.0000, 0.5000), F at (0.0000, 0.0000, 0.3040) and F at (0.0079, 0.5039, 0.8858).

=====

The following is a DFT calculation (GGA-PBE) of a relaxed structure of Rb2BeRhF6.

The calculation puts the volume at 287 Å³ per cell. The uncorrected formation energy is -2.299 eV per atom. Its size of the total moment is 1.719 μB/cell.

It has space group I4/mmm (No. 139), with a = 5.635 Å, b = 5.635 Å, c = 9.037 Å, α = 90.00°, β = 90.00° and γ = 90.00°. Symmetry generates all atoms from Rb at (0.000, 0.500, 0.250), Be at (0.000, 0.000, 0.000), Rh at (0.000, 0.000, 0.500), F at (0.000, 0.000, 0.274) and F at (0.211, 0.211, 0.000).

=====

The following is a DFT calculation (GGA-PBE) of a relaxed structure of Rb2BeRuF6.

The calculation puts the volume at 260 Å³ per cell. The uncorrected formation energy is -2.239 eV per atom. Its size of the total moment is 0.000 μB/cell.

It has space group I4/mmm (No. 139), with a = 5.681 Å, b = 5.681 Å, c = 8.070 Å, α = 90.00°, β = 90.00° and γ = 90.00°. Symmetry generates all atoms from Rb at (0.000, 0.500, 0.250), Be at (0.000, 0.000, 0.000), Ru at (0.000, 0.000, 0.500), F at (0.000, 0.000, 0.230) and F at (0.229, 0.229, 0.000).

=====

Question: Number 3 is which compound?
Answer: Rb2BeRuF6